Record 1
{"formula": "BaSn2Pd8", "functional": "PBE-GGA", "state": "optimized geometry", "cell": [[-3.1663, 4.3073, 1.1713], [-1.9277, -2.6147, 4.4043], [6.5954, 3.4985, 4.9637]], "species": ["Sn", "Pd", "Pd", "Pd", "Pd", "Pd", "Pd", "Sn", "Ba", "Pd", "Pd"], "fractional_positions": [[0.5000, 0.0000, 0.0000], [0.2473, 0.2473, 0.2082], [0.2473, 0.7527, 0.2082], [0.7527, 0.7527, 0.2082], [0.2473, 0.2473, 0.7918], [0.7527, 0.2473, 0.7918], [0.2473, 0.7527, 0.7918], [0.0000, 0.5000, 0.0000], [0.5000, 0.5000, 0.5000], [0.7527, 0.2473, 0.2082], [0.7527, 0.7527, 0.7918]], "total_energy_ev_per_atom": -4.8159, "delta_e_f_ev_per_atom": -0.14}

=====

Record 2
{"formula": "NaGeOs2Cl", "functional": "PBE-GGA", "state": "optimized geometry", "cell": [[4.3974, 0.0000, 0.0000], [0.0000, 5.0466, 0.0000], [0.0000, 0.0000, 4.3974]], "species": ["Na", "Os", "Ge", "Cl", "Os"], "fractional_positions": [[0.5000, 0.5000, 0.5000], [0.5000, 0.0000, 0.0000], [0.0000, 0.5000, 0.0000], [0.0000, 0.0000, 0.0000], [0.0000, 0.0000, 0.5000]], "total_energy_ev_per_atom": -4.5008, "formation_energy_uncorrected_ev_per_atom": 1.55}

=====

Record 3
{"formula": "CePm2Co3", "functional": "PBE-GGA", "state": "optimized geometry", "cell": [[5.0565, 0.0000, 0.0000], [0.0000, 6.6644, -3.8173], [0.0000, -0.1333, 7.4934]], "species": ["Co", "Pm", "Co", "Ce", "Co", "Co", "Pm", "Co", "Ce", "Co", "Pm", "Pm"], "fractional_positions": [[0.0000, 0.1502, 0.3003], [0.2500, 0.4906, 0.6586], [0.5000, 0.5000, 0.0000], [0.2500, 0.1609, 0.0000], [0.5000, 0.1502, 0.3003], [0.0000, 0.5000, 0.0000], [0.2500, 0.8320, 0.3414], [0.5000, 0.8498, 0.6997], [0.7500, 0.8391, 0.0000], [0.0000, 0.8498, 0.6997], [0.7500, 0.5094, 0.3414], [0.7500, 0.1680, 0.6586]], "total_energy_ev_per_atom": -6.2264, "delta_e_f_ev_per_atom": -0.10}

=====

Record 4
{"formula": "La2FeMo", "functional": "PBE-GGA", "state": "optimized geometry", "cell": [[-3.5327, -0.3394, 0.6219], [-0.2252, -2.4525, -2.6177], [1.1391, -7.7221, 2.2563]], "species": ["La", "Mo", "La", "Fe"], "fractional_positions": [[0.0000, 0.4954, 0.5050], [0.5000, 0.2500, 0.2500], [0.0000, 0.0046, 0.9950], [0.5000, 0.7500, 0.7500]], "total_energy_ev_per_atom": -6.7539, "delta_e_f_ev_per_atom": 0.53}

=====

Record 5
{"formula": "TlRhCl2", "functional": "PBE-GGA", "state": "optimized geometry", "cell": [[2.3472, -4.2619, -1.3626], [1.9819, -3.0303, 3.5241], [-2.1299, -4.4781, 0.9693]], "species": ["Cl", "Rh", "Tl", "Cl"], "fractional_positions": [[0.2500, 0.2500, 0.2500], [0.0000, 0.0000, 0.0000], [0.5000, 0.5000, 0.5000], [0.7500, 0.7500, 0.7500]], "total_energy_ev_per_atom": -3.2702, "formation_energy_uncorrected_ev_per_atom": 0.08}

=====

Record 6
{"formula": "Ag2RuBr4F2", "functional": "PBE-GGA", "state": "optimized geometry", "cell": [[6.1159, -0.8709, -0.5925], [0.2306, 6.6753, -0.4980], [0.2306, 1.9878, 6.3919]], "species": ["Br", "Ag", "Ru", "F", "Br", "Br", "Br", "Ag", "F"], "fractional_positions": [[0.7408, 0.3272, 0.9182], [0.6297, 0.6232, 0.6232], [0.5000, 0.0000, 0.0000], [0.3141, 0.1332, 0.1332], [0.7408, 0.9182, 0.3272], [0.2592, 0.0818, 0.6728], [0.2592, 0.6728, 0.0818], [0.3703, 0.3768, 0.3768], [0.6859, 0.8668, 0.8668]], "total_energy_ev_per_atom": -3.4826, "formation_energy_uncorrected_ev_per_atom": -0.66}

=====

Record 7
{"formula": "LuScSn", "functional": "PBE-GGA", "state": "optimized geometry", "cell": [[3.5336, 0.0000, 0.0000], [0.0000, 4.9795, 0.0000], [0.0000, -2.4898, 4.3124]], "species": ["Lu", "Sn", "Sc"], "fractional_positions": [[0.3674, 0.3333, 0.6667], [0.7220, 0.6667, 0.3333], [0.9106, 0.0000, 0.0000]], "total_energy_ev_per_atom": -5.3053, "delta_e_f_ev_per_atom": -0.35}

=====

Record 8
{"formula": "Sb3PdF", "functional": "PBE-GGA", "state": "optimized geometry", "cell": [[-1.3692, -0.9204, 4.5619], [-2.6926, -3.7219, -1.5591], [3.7958, -2.9721, 0.5396]], "species": ["Sb", "Sb", "Pd", "F", "Sb"], "fractional_positions": [[0.0000, 0.0000, 0.5000], [0.5000, 0.0000, 0.0000], [0.5000, 0.5000, 0.5000], [0.0000, 0.0000, 0.0000], [0.0000, 0.5000, 0.0000]], "total_energy_ev_per_atom": -3.8590, "formation_energy_uncorrected_ev_per_atom": 0.03}